Below is a relaxed structure of LiZnGa2Co, with properties calculated at the PBE level.

Lattice parameters (Å, degrees): 4.499 4.499 4.644 90.00 90.00 90.00
Sites, in units of the cell vectors:
Li  0.500  0.500  0.500
Ga  0.000  0.500  0.000
Ga  0.500  0.000  0.000
Co  0.000  0.000  0.000
Zn  0.000  0.000  0.500

Output
SG: P4/mmm
formation energy: -0.100 eV/atom
density: 4.78 g/cm3